This record from the Alexandria database describes La8CoPt3Br4 after structural relaxation. The functional is GGA-PBE.

Cell lengths 8.485, 9.271, 8.490 Å; angles 117.26, 119.98, 90.00 degrees
Positions (direct):
La  0.267  0.301  0.534
Br  0.000  0.000  0.500
Br  0.500  0.000  0.000
Br  0.000  0.000  0.000
La  0.733  0.699  0.466
Br  0.500  0.000  0.500
La  0.774  0.304  0.548
Pt  0.000  0.500  0.500
La  0.226  0.696  0.452
Co  0.000  0.500  0.000
Pt  0.500  0.500  0.500
La  0.225  0.696  0.971
La  0.775  0.304  0.029
La  0.255  0.304  0.029
Pt  0.500  0.500  0.000
La  0.745  0.696  0.971

Results
Final energy = -90.9 eV for the cell shown
N(E_F) = 12.209 states/eV/cell
ρ = 7.02 g/cm3
Total magnetic moment = 0.000 μB per formula unit
Space-group type = R-3m, No. 166

This record from the Alexandria database describes Li2InMo after structural relaxation. The functional is GGA-PBE.

Cell lengths 2.736, 2.736, 9.259 Å; angles 90.00, 90.00, 90.00 degrees
Positions (direct):
Mo  0.500  0.500  0.250
Li  0.000  0.000  0.493
In  0.500  0.500  0.750
Li  0.000  0.000  0.007

Results
Final energy = -16.3 eV for the cell shown
N(E_F) = 2.851 states/eV/cell
ρ = 5.38 g/cm3
Total magnetic moment = 0.160 μB per formula unit
Space-group type = P4/mmm, No. 123